Material: Mg2AlMo
Method: DFT, GGA-PBEsol
State: relaxed

Cell lengths 2.7950, 4.4296, 5.7285 Å; angles 90.00, 103.09, 90.00 degrees
With the nearest neighbours (Å) after each atom.
Fractional positions:
Mo (0.4860, 0.0000, 0.5324)  4 Al 2.72-2.90, 2 Mo 2.79, 4 Mg 2.88-2.96
Mg (0.1131, 0.0000, 0.0065)  2 Al 2.79, 6 Mg 2.79-3.00, 3 Mo 2.88-3.12
Mg (0.7650, 0.5000, 0.2494)  1 Al 2.62, 4 Mg 2.79-2.90
Al (0.1360, 0.5000, 0.7117)  3 Mg 2.62-2.79, 4 Mo 2.72-2.90, 2 Al 2.79

Output
* ΔE_f: 0.176 eV per atom
* DOS at the Fermi energy: 2.888 states/eV per cell
* total moment: 0.00 μB per cell
* symmetry: Pm (6)

=====

Material: Mg2AlMo
Method: DFT, GGA-PBEsol
State: relaxed

Cell lengths 2.9321, 2.9321, 9.7246 Å; angles 81.33, 81.33, 60.00 degrees
With the nearest neighbours (Å) after each atom.
Fractional positions:
Mg (0.7557, 0.7557, 0.7328)  3 Mo 2.88, 9 Mg 2.93-3.15
Mo (0.5037, 0.5037, 0.4889)  3 Al 2.71, 3 Mg 2.88, 6 Mo 2.93
Mg (0.9965, 0.9965, 0.0105)  9 Mg 2.93-3.15, 3 Al 2.99
Al (0.2441, 0.2441, 0.2678)  3 Mo 2.71, 6 Al 2.93, 3 Mg 2.99

Output
* ΔE_f: 0.191 eV per atom
* DOS at the Fermi energy: 2.652 states/eV per cell
* total moment: 0.00 μB per cell
* symmetry: R3m (160)

=====

Q: What is the ΔE_f in the first record?
A: 0.176 eV per atom

=====

Repeat the first record exactly.
Material: Mg2AlMo
Method: DFT, GGA-PBEsol
State: relaxed

Cell lengths 2.7950, 4.4296, 5.7285 Å; angles 90.00, 103.09, 90.00 degrees
With the nearest neighbours (Å) after each atom.
Fractional positions:
Mo (0.4860, 0.0000, 0.5324)  4 Al 2.72-2.90, 2 Mo 2.79, 4 Mg 2.88-2.96
Mg (0.1131, 0.0000, 0.0065)  2 Al 2.79, 6 Mg 2.79-3.00, 3 Mo 2.88-3.12
Mg (0.7650, 0.5000, 0.2494)  1 Al 2.62, 4 Mg 2.79-2.90
Al (0.1360, 0.5000, 0.7117)  3 Mg 2.62-2.79, 4 Mo 2.72-2.90, 2 Al 2.79

Output
* ΔE_f: 0.176 eV per atom
* DOS at the Fermi energy: 2.888 states/eV per cell
* total moment: 0.00 μB per cell
* symmetry: Pm (6)